# 1
Below is crystalline ScMnCo2Se at its relaxed geometry, with properties calculated at the PBE level.

Properties
**Symmetry**: P4/mmm (123)
**Formation energy (no corrections)**: 0.60 eV per atom
**Total energy**: -6.04 eV per atom

a b c (Å): 4.145 4.949 4.145
angles (deg): 90.00 90.00 90.00
Fractional coordinates of all 5 atoms:
Sc (0.000, 0.500, 0.000)
Mn (0.000, 0.000, 0.000)
Co (0.000, 0.000, 0.500)
Co (0.500, 0.000, 0.000)
Se (0.500, 0.500, 0.500)

---

# 2
Below is crystalline Pu2PaH8 at its relaxed geometry, with properties calculated at the PBE level.

Properties
**Symmetry**: C2/m (12)
**Total energy**: -6.28 eV per atom

a b c (Å): 3.772 5.001 6.368
angles (deg): 113.12 102.25 90.00
Each line ends with the local moment (μB).
Fractional coordinates of all 11 atoms:
Pu (0.130, 0.674, 0.348)  5.29
Pu (0.870, 0.326, 0.652)  5.29
Pa (0.500, 0.000, 0.000)  1.08
H (0.619, 0.902, 0.321)  -0.02
H (0.381, 0.582, 0.679)  -0.02
H (0.092, 0.144, 0.289)  -0.02
H (0.000, 0.275, 0.000)  -0.02
H (0.908, 0.856, 0.711)  -0.02
H (0.619, 0.418, 0.321)  -0.02
H (0.381, 0.098, 0.679)  -0.02
H (0.000, 0.725, 0.000)  -0.02